No. 1
# meta-GGA SCAN KCu2Se, PBEsol geometry
data_KCu2Se
_chemical_formula_sum 'K1 Cu2 Se1'
_space_group_name_H-M_alt 'P m m 2'
_space_group_IT_number 25
_cell_length_a 2.9394
_cell_length_b 3.6274
_cell_length_c 7.1854
_cell_angle_alpha 90.00
_cell_angle_beta 90.00
_cell_angle_gamma 90.00
loop_
_space_group_symop_operation_xyz
'x,y,z'
'-x,-y,z'
'-x,y,z'
'x,-y,z'
loop_
_atom_site_label
_atom_site_fract_x
_atom_site_fract_y
_atom_site_fract_z
K1 0.0000 0.0000 0.0000
Cu1 0.0000 0.0000 0.5193
Cu2 0.5000 0.5000 0.6531
Se1 0.5000 0.5000 0.3168
# D(E_F) = 1.500 states/eV/cell
# Crystal system = orthorhombic
# Size of the total moment = 0.00 Bohr magnetons per cell

=====

No. 2
# meta-GGA SCAN KCu2Se, PBEsol geometry
data_KCu2Se
_chemical_formula_sum 'K1 Cu2 Se1'
_space_group_name_H-M_alt 'P m m m'
_space_group_IT_number 47
_cell_length_a 2.8962
_cell_length_b 3.8447
_cell_length_c 7.2358
_cell_angle_alpha 90.00
_cell_angle_beta 90.00
_cell_angle_gamma 90.00
loop_
_space_group_symop_operation_xyz
'x,y,z'
'-x,-y,-z'
'-x,-y,z'
'x,y,-z'
'x,-y,-z'
'-x,y,z'
'-x,y,-z'
'x,-y,z'
loop_
_atom_site_label
_atom_site_fract_x
_atom_site_fract_y
_atom_site_fract_z
K1 0.0000 0.0000 0.0000
Cu1 0.5000 0.5000 0.3311
Se1 0.0000 0.0000 0.5000
# D(E_F) = 1.662 states/eV/cell
# Crystal system = orthorhombic
# Size of the total moment = 0.00 Bohr magnetons per cell

=====

No. 3
# meta-GGA SCAN KCuSe3, PBEsol geometry
data_KCuSe3
_chemical_formula_sum 'K1 Cu1 Se3'
_space_group_name_H-M_alt 'P m -3 m'
_space_group_IT_number 221
_space_group_name_Hall '-P 4 2 3'
_cell_length_a 4.8594
_cell_length_b 4.8594
_cell_length_c 4.8594
_cell_angle_alpha 90.00
_cell_angle_beta 90.00
_cell_angle_gamma 90.00
loop_
_atom_site_label
_atom_site_fract_x
_atom_site_fract_y
_atom_site_fract_z
K1 0.0000 0.0000 0.0000
Cu1 0.5000 0.5000 0.5000
Se1 0.0000 0.5000 0.5000
# D(E_F) = 4.127 states/eV/cell
# Crystal system = cubic
# E above lowest polymorph = 0.00 eV/f.u.
# Size of the total moment = 0.00 Bohr magnetons per cell

=====

No. 4
# meta-GGA SCAN K2TaCuSe4, PBEsol geometry
data_K2TaCuSe4
_chemical_formula_sum 'K16 Ta8 Cu8 Se32'
_space_group_name_H-M_alt 'F d d d'
_space_group_IT_number 70
_cell_length_a 5.6819
_cell_length_b 13.3566
_cell_length_c 23.7981
_cell_angle_alpha 90.00
_cell_angle_beta 90.00
_cell_angle_gamma 90.00
loop_
_space_group_symop_operation_xyz
'x,y,z'
'-x,-y,-z'
'-x+1/4,-y+1/4,z'
'x+1/4,y+1/4,-z'
'x,-y+1/4,-z+1/4'
'-x,y+1/4,z+1/4'
'-x+1/4,y,-z+1/4'
'x+1/4,-y,z+1/4'
'x,y+1/2,z+1/2'
'-x,-y+1/2,-z+1/2'
'-x+1/4,-y+3/4,z+1/2'
'x+1/4,y+3/4,-z+1/2'
'x,-y+3/4,-z+3/4'
'-x,y+3/4,z+3/4'
'-x+1/4,y+1/2,-z+3/4'
'x+1/4,-y+1/2,z+3/4'
'x+1/2,y,z+1/2'
'-x+1/2,-y,-z+1/2'
'-x+3/4,-y+1/4,z+1/2'
'x+3/4,y+1/4,-z+1/2'
'x+1/2,-y+1/4,-z+3/4'
'-x+1/2,y+1/4,z+3/4'
'-x+3/4,y,-z+3/4'
'x+3/4,-y,z+3/4'
'x+1/2,y+1/2,z'
'-x+1/2,-y+1/2,-z'
'-x+3/4,-y+3/4,z'
'x+3/4,y+3/4,-z'
'x+1/2,-y+3/4,-z+1/4'
'-x+1/2,y+3/4,z+1/4'
'-x+3/4,y+1/2,-z+1/4'
'x+3/4,-y+1/2,z+1/4'
loop_
_atom_site_label
_atom_site_fract_x
_atom_site_fract_y
_atom_site_fract_z
K1 0.1250 0.1250 0.3050
Ta1 0.1250 0.1250 0.1250
Cu1 0.1250 0.1250 0.6250
Se1 0.1215 0.2707 0.4328
# D(E_F) = 0.000 states/eV/cell
# Crystal system = orthorhombic
# Size of the total moment = 0.00 Bohr magnetons per cell

=====

No. 5
# meta-GGA SCAN KUCuSe3, PBEsol geometry
data_KUCuSe3
_chemical_formula_sum 'K4 U4 Cu4 Se12'
_space_group_name_H-M_alt 'C m c m'
_space_group_IT_number 63
_space_group_name_Hall '-C 2c 2'
_cell_length_a 4.0060
_cell_length_b 14.4913
_cell_length_c 10.4531
_cell_angle_alpha 90.00
_cell_angle_beta 90.00
_cell_angle_gamma 90.00
loop_
_atom_site_label
_atom_site_fract_x
_atom_site_fract_y
_atom_site_fract_z
K1 0.0000 0.2465 0.2500
U1 0.0000 0.5000 0.0000
Cu1 0.0000 0.0315 0.7500
Se1 0.0000 0.1277 0.5620
Se2 0.0000 0.4330 0.7500
# D(E_F) = 6.304 states/eV/cell
# Crystal system = orthorhombic
# Size of the total moment = 8.00 Bohr magnetons per cell

=====

No. 6
# meta-GGA SCAN K2VCuSe4, PBEsol geometry
data_K2VCuSe4
_chemical_formula_sum 'K16 V8 Cu8 Se32'
_space_group_name_H-M_alt 'F d d d'
_space_group_IT_number 70
_cell_length_a 5.5522
_cell_length_b 13.0910
_cell_length_c 23.1840
_cell_angle_alpha 90.00
_cell_angle_beta 90.00
_cell_angle_gamma 90.00
loop_
_space_group_symop_operation_xyz
'x,y,z'
'-x,-y,-z'
'-x+1/4,-y+1/4,z'
'x+1/4,y+1/4,-z'
'x,-y+1/4,-z+1/4'
'-x,y+1/4,z+1/4'
'-x+1/4,y,-z+1/4'
'x+1/4,-y,z+1/4'
'x,y+1/2,z+1/2'
'-x,-y+1/2,-z+1/2'
'-x+1/4,-y+3/4,z+1/2'
'x+1/4,y+3/4,-z+1/2'
'x,-y+3/4,-z+3/4'
'-x,y+3/4,z+3/4'
'-x+1/4,y+1/2,-z+3/4'
'x+1/4,-y+1/2,z+3/4'
'x+1/2,y,z+1/2'
'-x+1/2,-y,-z+1/2'
'-x+3/4,-y+1/4,z+1/2'
'x+3/4,y+1/4,-z+1/2'
'x+1/2,-y+1/4,-z+3/4'
'-x+1/2,y+1/4,z+3/4'
'-x+3/4,y,-z+3/4'
'x+3/4,-y,z+3/4'
'x+1/2,y+1/2,z'
'-x+1/2,-y+1/2,-z'
'-x+3/4,-y+3/4,z'
'x+3/4,y+3/4,-z'
'x+1/2,-y+3/4,-z+1/4'
'-x+1/2,y+3/4,z+1/4'
'-x+3/4,y+1/2,-z+1/4'
'x+3/4,-y+1/2,z+1/4'
loop_
_atom_site_label
_atom_site_fract_x
_atom_site_fract_y
_atom_site_fract_z
K1 0.1250 0.1250 0.3055
V1 0.1250 0.1250 0.1250
Cu1 0.1250 0.1250 0.6250
Se1 0.1107 0.2730 0.4324
# Crystal system = orthorhombic
# Size of the total moment = 0.00 Bohr magnetons per cell

=====

No. 7
# meta-GGA SCAN KZrCuSe3, PBEsol geometry
data_KZrCuSe3
_chemical_formula_sum 'K4 Zr4 Cu4 Se12'
_space_group_name_H-M_alt 'C m c m'
_space_group_IT_number 63
_space_group_name_Hall '-C 2c 2'
_cell_length_a 3.8398
_cell_length_b 14.5579
_cell_length_c 10.0671
_cell_angle_alpha 90.00
_cell_angle_beta 90.00
_cell_angle_gamma 90.00
loop_
_atom_site_label
_atom_site_fract_x
_atom_site_fract_y
_atom_site_fract_z
K1 0.0000 0.2503 0.2500
Zr1 0.0000 0.0000 0.0000
Cu1 0.0000 0.4677 0.7500
Se1 0.0000 0.0691 0.7500
Se2 0.0000 0.3752 0.5538
# Crystal system = orthorhombic
# Size of the total moment = 0.00 Bohr magnetons per cell

=====

No. 8
# meta-GGA SCAN K4CuSi, PBEsol geometry
data_K4CuSi
_chemical_formula_sum 'K16 Cu4 Si4'
_space_group_name_H-M_alt 'F -4 3 m'
_space_group_IT_number 216
_space_group_name_Hall 'F -4 2 3'
_cell_length_a 9.2445
_cell_length_b 9.2445
_cell_length_c 9.2445
_cell_angle_alpha 90.00
_cell_angle_beta 90.00
_cell_angle_gamma 90.00
loop_
_atom_site_label
_atom_site_fract_x
_atom_site_fract_y
_atom_site_fract_z
K1 0.1249 0.1249 0.1249
Cu1 0.2500 0.2500 0.7500
Si1 0.0000 0.0000 0.5000
# D(E_F) = 17.124 states/eV/cell
# Crystal system = cubic
# Size of the total moment = 0.00 Bohr magnetons per cell

=====

No. 9
# meta-GGA SCAN KCuSi2, PBEsol geometry
data_KCuSi2
_chemical_formula_sum 'K1 Cu1 Si2'
_space_group_name_H-M_alt 'P m m 2'
_space_group_IT_number 25
_cell_length_a 2.8024
_cell_length_b 3.5855
_cell_length_c 7.3810
_cell_angle_alpha 90.00
_cell_angle_beta 90.00
_cell_angle_gamma 90.00
loop_
_space_group_symop_operation_xyz
'x,y,z'
'-x,-y,z'
'-x,y,z'
'x,-y,z'
loop_
_atom_site_label
_atom_site_fract_x
_atom_site_fract_y
_atom_site_fract_z
K1 0.0000 0.0000 0.0000
Cu1 0.5000 0.5000 0.6553
Si1 0.0000 0.0000 0.5225
Si2 0.5000 0.5000 0.3303
# D(E_F) = 1.083 states/eV/cell
# Crystal system = orthorhombic
# E above lowest polymorph = 1.25 eV/f.u.
# Size of the total moment = 0.00 Bohr magnetons per cell

=====

No. 10
# meta-GGA SCAN KCuSi2, PBEsol geometry
data_KCuSi2
_chemical_formula_sum 'K1 Cu1 Si2'
_space_group_name_H-M_alt 'P 4/m m m'
_space_group_IT_number 123
_space_group_name_Hall '-P 4 2'
_cell_length_a 3.1853
_cell_length_b 3.1853
_cell_length_c 7.3708
_cell_angle_alpha 90.00
_cell_angle_beta 90.00
_cell_angle_gamma 90.00
loop_
_atom_site_label
_atom_site_fract_x
_atom_site_fract_y
_atom_site_fract_z
K1 0.0000 0.0000 0.0000
Cu1 0.0000 0.0000 0.5000
Si1 0.5000 0.5000 0.3366
# D(E_F) = 1.385 states/eV/cell
# Crystal system = tetragonal
# E above lowest polymorph = 0.88 eV/f.u.
# Size of the total moment = 0.00 Bohr magnetons per cell

=====

Number 1: volume 76.61 Å³/cell, total energy -58.641 eV for the cell shown, theoretical density 5.3 g/cm3. Number 2: volume 80.57 Å³/cell, total energy -57.313 eV for the cell shown, theoretical density 5.1 g/cm3. Number 3: volume 114.75 Å³/cell, total energy -84.776 eV for the cell shown, theoretical density 4.9 g/cm3. Number 4: volume 1806.05 Å³/cell, total energy -1498.767 eV for the cell shown, theoretical density 4.7 g/cm3. Number 5: volume 606.83 Å³/cell, total energy -776.954 eV for the cell shown, theoretical density 6.3 g/cm3. Number 6: volume 1685.11 Å³/cell, total energy -1103.174 eV for the cell shown, theoretical density 4.0 g/cm3. Number 7: volume 562.74 Å³/cell, total energy -488.884 eV for the cell shown, theoretical density 5.1 g/cm3. Number 8: volume 790.05 Å³/cell, total energy -214.184 eV for the cell shown, theoretical density 2.1 g/cm3. Number 9: volume 74.16 Å³/cell, total energy -42.221 eV for the cell shown, theoretical density 3.6 g/cm3. Number 10: volume 74.78 Å³/cell, total energy -42.588 eV for the cell shown, theoretical density 3.5 g/cm3.